VASP calculation (PBE) on an optimized crystal structure of Tb6NdAl2.

Values from the calculation:
The volume is 262.40 Å³ per cell. The calculation puts the energy at -41.4 eV/f.u. The energy above the most stable polymorph in this dataset is 0 meV/atom. As for the energy of formation from the pure elements: -155 meV per atom.

The structure in CIF format:
```
data_Tb6NdAl2
_cell_length_a 3.7227
_cell_length_b 6.5680
_cell_length_c 11.6166
_cell_angle_alpha 75.42
_cell_angle_beta 80.78
_cell_angle_gamma 73.54
_space_group_name_H-M_alt 'P 1'
_space_group_IT_number 1
loop_
_space_group_symop_operation_xyz
'x,y,z'
loop_
_atom_site_label
_atom_site_type_symbol
_atom_site_fract_x
_atom_site_fract_y
_atom_site_fract_z
_atom_site_occupancy
Tb1 Tb 0.9805 0.7080 0.3309 1
Tb2 Tb 0.0195 0.2920 0.6691 1
Tb3 Tb 0.6890 0.2073 0.4147 1
Tb4 Tb 0.6903 0.4936 0.1259 1
Tb5 Tb 0.3110 0.7927 0.5853 1
Tb6 Tb 0.3097 0.5064 0.8741 1
Nd1 Nd 0.0000 0.0000 0.0000 1
Al1 Al 0.6505 0.9119 0.7871 1
Al2 Al 0.3495 0.0881 0.2129 1
```